1.
# LaAl2FeW

A relaxed structure of LaAl2FeW (GGA-PBE, the Alexandria database).

```
data_LaAl2FeW
_chemical_formula_sum 'La1 Al2 Fe1 W1'
_cell_length_a 5.231
_cell_length_b 5.231
_cell_length_c 4.359
_cell_angle_alpha 90.00
_cell_angle_beta 90.00
_cell_angle_gamma 90.00
_space_group_name_H-M_alt 'P 4/m m m'
_space_group_IT_number 123
_space_group_name_Hall '-P 4 2'
loop_
_atom_site_label
_atom_site_type_symbol
_atom_site_fract_x
_atom_site_fract_y
_atom_site_fract_z
_atom_site_occupancy
La1 La 0.000 0.000 0.000 1
Al1 Al 0.000 0.500 0.000 1
Fe1 Fe 0.000 0.000 0.500 1
W1 W 0.500 0.500 0.500 1
```

Energy of formation from the pure elements (eV per atom): 2.176

***

2.
# LaYAl2Fe

A relaxed structure of LaYAl2Fe (GGA-PBE, the Alexandria database).

```
data_LaYAl2Fe
_chemical_formula_sum 'La1 Y1 Al2 Fe1'
_cell_length_a 4.771
_cell_length_b 4.771
_cell_length_c 4.926
_cell_angle_alpha 90.00
_cell_angle_beta 90.00
_cell_angle_gamma 90.00
_space_group_name_H-M_alt 'P 4/m m m'
_space_group_IT_number 123
_space_group_name_Hall '-P 4 2'
loop_
_atom_site_label
_atom_site_type_symbol
_atom_site_fract_x
_atom_site_fract_y
_atom_site_fract_z
_atom_site_occupancy
La1 La 0.000 0.000 0.000 1
Y1 Y 0.500 0.500 0.000 1
Al1 Al 0.000 0.500 0.500 1
Fe1 Fe 0.500 0.500 0.500 1
```

Relative energy among the computed polymorphs (eV per atom): 0.000
Energy of formation from the pure elements (eV per atom): -0.192

***

3.
# LaYAl2Fe

A relaxed structure of LaYAl2Fe (GGA-PBE, the Alexandria database).

```
data_LaYAl2Fe
_chemical_formula_sum 'La1 Y1 Al2 Fe1'
_cell_length_a 5.499
_cell_length_b 5.499
_cell_length_c 4.450
_cell_angle_alpha 90.00
_cell_angle_beta 90.00
_cell_angle_gamma 90.00
_space_group_name_H-M_alt 'P 4/m m m'
_space_group_IT_number 123
_space_group_name_Hall '-P 4 2'
loop_
_atom_site_label
_atom_site_type_symbol
_atom_site_fract_x
_atom_site_fract_y
_atom_site_fract_z
_atom_site_occupancy
La1 La 0.000 0.000 0.000 1
Y1 Y 0.500 0.500 0.500 1
Al1 Al 0.000 0.500 0.000 1
Fe1 Fe 0.000 0.000 0.500 1
```

Relative energy among the computed polymorphs (eV per atom): 1.092
Energy of formation from the pure elements (eV per atom): 0.900

***

4.
# LaY2AlFe

A relaxed structure of LaY2AlFe (GGA-PBE, the Alexandria database).

```
data_LaY2AlFe
_chemical_formula_sum 'La1 Y2 Al1 Fe1'
_cell_length_a 5.137
_cell_length_b 5.137
_cell_length_c 4.928
_cell_angle_alpha 90.00
_cell_angle_beta 90.00
_cell_angle_gamma 90.00
_space_group_name_H-M_alt 'P 4/m m m'
_space_group_IT_number 123
_space_group_name_Hall '-P 4 2'
loop_
_atom_site_label
_atom_site_type_symbol
_atom_site_fract_x
_atom_site_fract_y
_atom_site_fract_z
_atom_site_occupancy
La1 La 0.000 0.000 0.000 1
Y1 Y 0.000 0.500 0.500 1
Al1 Al 0.500 0.500 0.000 1
Fe1 Fe 0.500 0.500 0.500 1
```

Energy of formation from the pure elements (eV per atom): -0.023

***

5.
# LaAlZn2Fe

A relaxed structure of LaAlZn2Fe (GGA-PBE, the Alexandria database).

```
data_LaAlZn2Fe
_chemical_formula_sum 'La1 Al1 Zn2 Fe1'
_cell_length_a 4.676
_cell_length_b 4.676
_cell_length_c 4.529
_cell_angle_alpha 90.00
_cell_angle_beta 90.00
_cell_angle_gamma 90.00
_space_group_name_H-M_alt 'P 4/m m m'
_space_group_IT_number 123
_space_group_name_Hall '-P 4 2'
loop_
_atom_site_label
_atom_site_type_symbol
_atom_site_fract_x
_atom_site_fract_y
_atom_site_fract_z
_atom_site_occupancy
La1 La 0.000 0.000 0.000 1
Al1 Al 0.500 0.500 0.000 1
Zn1 Zn 0.000 0.500 0.500 1
Fe1 Fe 0.500 0.500 0.500 1
```

Energy of formation from the pure elements (eV per atom): -0.181

***

6.
# LiAlFe2

A relaxed structure of LiAlFe2 (GGA-PBE, the Alexandria database).

```
data_LiAlFe2
_chemical_formula_sum 'Li2 Al2 Fe4'
_cell_length_a 8.540
_cell_length_b 2.557
_cell_length_c 4.592
_cell_angle_alpha 90.00
_cell_angle_beta 97.22
_cell_angle_gamma 90.00
_space_group_name_H-M_alt 'C 1 m 1'
_space_group_IT_number 8
_space_group_name_Hall 'C -2y'
loop_
_atom_site_label
_atom_site_type_symbol
_atom_site_fract_x
_atom_site_fract_y
_atom_site_fract_z
_atom_site_occupancy
Li1 Li 0.000 0.000 0.000 1
Al1 Al 0.244 0.000 0.742 1
Fe1 Fe 0.003 0.500 0.486 1
Fe2 Fe 0.254 0.500 0.254 1
```

Energy of formation from the pure elements (eV per atom): 0.002

***

7.
# LiAlFe2

A relaxed structure of LiAlFe2 (GGA-PBE, the Alexandria database).

```
data_LiAlFe2
_chemical_formula_sum 'Li4 Al4 Fe8'
_cell_length_a 6.487
_cell_length_b 6.487
_cell_length_c 4.979
_cell_angle_alpha 90.00
_cell_angle_beta 90.00
_cell_angle_gamma 90.00
_space_group_name_H-M_alt 'I -4 2 d'
_space_group_IT_number 122
_space_group_name_Hall 'I -4 2bw'
loop_
_atom_site_label
_atom_site_type_symbol
_atom_site_fract_x
_atom_site_fract_y
_atom_site_fract_z
_atom_site_occupancy
Li1 Li 0.000 0.000 0.000 1
Al1 Al 0.000 0.000 0.500 1
Fe1 Fe 0.243 0.250 0.125 1
```

Energy of formation from the pure elements (eV per atom): 0.368

***

8.
# LiAlFe2

A relaxed structure of LiAlFe2 (GGA-PBE, the Alexandria database).

```
data_LiAlFe2
_chemical_formula_sum 'Li1 Al1 Fe2'
_cell_length_a 2.581
_cell_length_b 2.581
_cell_length_c 7.773
_cell_angle_alpha 90.00
_cell_angle_beta 90.00
_cell_angle_gamma 90.00
_space_group_name_H-M_alt 'P 4/m m m'
_space_group_IT_number 123
_space_group_name_Hall '-P 4 2'
loop_
_atom_site_label
_atom_site_type_symbol
_atom_site_fract_x
_atom_site_fract_y
_atom_site_fract_z
_atom_site_occupancy
Li1 Li 0.000 0.000 0.000 1
Al1 Al 0.000 0.000 0.500 1
Fe1 Fe 0.500 0.500 0.266 1
```

Energy of formation from the pure elements (eV per atom): 0.035

***

no.,DFT total energy (Ry per atom)
1,-0.3374
2,-0.4160
3,-0.3357
4,-0.4436
5,-0.3026
6,-0.4148
7,-0.3879
8,-0.4123